Density functional theory data (PBE) for MgTc after structural relaxation.

It has space group P6_3/mmc (No. 194), with a = 4.2787 Å, b = 4.2787 Å, c = 9.3262 Å, α = 90.00°, β = 90.00° and γ = 120.00°. Symmetry generates all atoms from Mg at (0.3333, 0.6667, 0.0794), Tc at (0.0000, 0.0000, 0.2500) and Tc at (0.3333, 0.6667, 0.7500).

For the formation energy, the calculation gives 0.49 eV per formula unit. For the energy above the most stable polymorph in this dataset, the calculation gives 0.2692 eV per atom. The calculation puts the total energy at -5.736 eV per atom.